Entry 1:
Ce21Fe8Bi7C12: relaxed, PBE.

a = 11.3325 Å, b = 11.3325 Å, c = 11.3325 Å
α = 60.00°, β = 60.00°, γ = 60.00°
Positions (direct):
Ce 0.0000 0.0000 0.0000
Ce 0.1386 0.1386 0.1386
Ce 0.1386 0.1386 0.5842
Ce 0.1386 0.5842 0.1386
Ce 0.1582 0.5000 0.5000
Ce 0.1582 0.5000 0.8418
Ce 0.1582 0.8418 0.5000
Ce 0.4158 0.8614 0.8614
Ce 0.5000 0.1582 0.5000
Ce 0.5000 0.1582 0.8418
Ce 0.5000 0.5000 0.1582
Ce 0.5000 0.5000 0.8418
Ce 0.5000 0.8418 0.1582
Ce 0.5000 0.8418 0.5000
Ce 0.5842 0.1386 0.1386
Ce 0.8418 0.1582 0.5000
Ce 0.8418 0.5000 0.1582
Ce 0.8418 0.5000 0.5000
Ce 0.8614 0.4158 0.8614
Ce 0.8614 0.8614 0.4158
Ce 0.8614 0.8614 0.8614
Fe 0.0821 0.3060 0.3060
Fe 0.3060 0.0821 0.3060
Fe 0.3060 0.3060 0.0821
Fe 0.3060 0.3060 0.3060
Fe 0.6940 0.6940 0.6940
Fe 0.6940 0.6940 0.9179
Fe 0.6940 0.9179 0.6940
Fe 0.9179 0.6940 0.6940
Bi 0.2086 0.2086 0.7914
Bi 0.2086 0.7914 0.2086
Bi 0.2086 0.7914 0.7914
Bi 0.5000 0.5000 0.5000
Bi 0.7914 0.2086 0.2086
Bi 0.7914 0.2086 0.7914
Bi 0.7914 0.7914 0.2086
C 0.1038 0.1038 0.3962
C 0.1038 0.3962 0.1038
C 0.1038 0.3962 0.3962
C 0.3962 0.1038 0.1038
C 0.3962 0.1038 0.3962
C 0.3962 0.3962 0.1038
C 0.6038 0.6038 0.8962
C 0.6038 0.8962 0.6038
C 0.6038 0.8962 0.8962
C 0.8962 0.6038 0.6038
C 0.8962 0.6038 0.8962
C 0.8962 0.8962 0.6038

Output
The crystal system is cubic. The formation energy is -46 kJ/mol of atoms.

***

Entry 2:
Ce4GeBiC: relaxed, PBE.

a = 8.7033 Å, b = 8.7033 Å, c = 6.8811 Å
α = 90.00°, β = 90.00°, γ = 133.69°
Positions (direct):
Ce 0.0000 0.5000 0.0000
Ce 0.0000 0.5000 0.5000
Ce 0.0803 0.9197 0.7500
Ce 0.4023 0.5977 0.7500
Ce 0.5000 0.0000 0.0000
Ce 0.5000 0.0000 0.5000
Ce 0.5977 0.4023 0.2500
Ce 0.9197 0.0803 0.2500
Ge 0.1179 0.8821 0.2500
Ge 0.8821 0.1179 0.7500
Bi 0.3958 0.6042 0.2500
Bi 0.6042 0.3958 0.7500
C 0.2368 0.7632 0.7500
C 0.7632 0.2368 0.2500

Output
The crystal system is orthorhombic. The formation energy is -48 kJ/mol of atoms.

***

Entry 3:
Ce6GeBi2C: relaxed, PBE.

a = 5.3074 Å, b = 5.3074 Å, c = 10.3689 Å
α = 90.00°, β = 90.00°, γ = 90.00°
Positions (direct):
Ce 0.0000 0.0000 0.2286
Ce 0.0000 0.0000 0.7714
Ce 0.0000 0.5000 0.0000
Ce 0.0000 0.5000 0.5000
Ce 0.5000 0.0000 0.0000
Ce 0.5000 0.0000 0.5000
Ge 0.0000 0.0000 0.5000
Bi 0.5000 0.5000 0.2467
Bi 0.5000 0.5000 0.7533
C 0.0000 0.0000 0.0000

Output
The crystal system is tetragonal. The formation energy is -31 kJ/mol of atoms.

***

Entry 4:
Ce2HoBiC: relaxed, PBE.

a = 4.9873 Å, b = 4.9873 Å, c = 4.9351 Å
α = 90.00°, β = 90.00°, γ = 90.00°
Positions (direct):
Ce 0.0000 0.5000 0.0000
Ce 0.5000 0.0000 0.0000
Ho 0.0000 0.0000 0.5000
Bi 0.5000 0.5000 0.5000
C 0.0000 0.0000 0.0000

Output
The crystal system is tetragonal. The formation energy is -46 kJ/mol of atoms.

***

Entry 5:
LaCe2BiC: relaxed, PBE.

a = 4.9939 Å, b = 4.9939 Å, c = 5.2360 Å
α = 90.00°, β = 90.00°, γ = 90.00°
Positions (direct):
La 0.0000 0.0000 0.0000
Ce 0.0000 0.5000 0.5000
Ce 0.5000 0.0000 0.5000
Bi 0.5000 0.5000 0.0000
C 0.0000 0.0000 0.5000

Output
The crystal system is tetragonal. The formation energy is -46 kJ/mol of atoms.

***

Entry 6:
Ce2NdBiC: relaxed, PBE.

a = 4.9701 Å, b = 4.9701 Å, c = 5.1796 Å
α = 90.00°, β = 90.00°, γ = 90.00°
Positions (direct):
Ce 0.0000 0.5000 0.0000
Ce 0.5000 0.0000 0.0000
Nd 0.0000 0.0000 0.5000
Bi 0.5000 0.5000 0.5000
C 0.0000 0.0000 0.0000

Output
The crystal system is tetragonal. The formation energy is -44 kJ/mol of atoms.